[1]
Below is a relaxed Na5Tl2Rh crystal, with properties calculated at the PBE level.

```
data_Na5Tl2Rh
_chemical_formula_sum 'Na20 Tl8 Rh4'
_cell_length_a 4.3691
_cell_length_b 11.2965
_cell_length_c 17.8920
_cell_angle_alpha 90.00
_cell_angle_beta 90.00
_cell_angle_gamma 90.00
_space_group_name_H-M_alt 'C m c m'
_space_group_IT_number 63
_space_group_name_Hall '-C 2c 2'
loop_
_atom_site_label
_atom_site_type_symbol
_atom_site_fract_x
_atom_site_fract_y
_atom_site_fract_z
Na1 Na 0.0000 0.0267 0.2500
Na2 Na 0.0000 0.1561 0.0404
Na3 Na 0.0000 0.4502 0.1109
Tl1 Tl 0.0000 0.2506 0.6589
Rh1 Rh 0.0000 0.2946 0.2500
```

DOS(E_F) in states/eV/cell: 11.3
E_tot in eV for the cell shown: -75.5
Total magnetization in Bohr magnetons per cell: 0.0
ΔE_f in eV per atom: -0.025

=====

[2]
Below is a relaxed Na2Tl6Rh crystal, with properties calculated at the PBE level.

```
data_Na2Tl6Rh
_chemical_formula_sum 'Na2 Tl6 Rh1'
_cell_length_a 8.8755
_cell_length_b 8.8755
_cell_length_c 3.5794
_cell_angle_alpha 90.00
_cell_angle_beta 90.00
_cell_angle_gamma 120.00
_space_group_name_H-M_alt 'P -6 2 m'
_space_group_IT_number 189
_space_group_name_Hall 'P -6 -2'
loop_
_atom_site_label
_atom_site_type_symbol
_atom_site_fract_x
_atom_site_fract_y
_atom_site_fract_z
Na1 Na 0.3333 0.6667 0.0000
Tl1 Tl 0.0000 0.2523 0.0000
Tl2 Tl 0.0000 0.6350 0.5000
Rh1 Rh 0.0000 0.0000 0.5000
```

DOS(E_F) in states/eV/cell: 4.6
E_tot in eV for the cell shown: -24.2
Total magnetization in Bohr magnetons per cell: 0.0
ΔE_f in eV per atom: -0.005

=====

[3]
Below is a relaxed Na4Tl5Rh crystal, with properties calculated at the PBE level.

```
data_Na4Tl5Rh
_chemical_formula_sum 'Na8 Tl10 Rh2'
_cell_length_a 10.5883
_cell_length_b 10.5883
_cell_length_c 5.2581
_cell_angle_alpha 90.00
_cell_angle_beta 90.00
_cell_angle_gamma 90.00
_space_group_name_H-M_alt 'I 4 m m'
_space_group_IT_number 107
_space_group_name_Hall 'I 4 -2'
loop_
_atom_site_label
_atom_site_type_symbol
_atom_site_fract_x
_atom_site_fract_y
_atom_site_fract_z
Na1 Na 0.0000 0.3091 0.0000
Tl1 Tl 0.0000 0.0000 0.9889
Tl2 Tl 0.1827 0.1827 0.4962
Rh1 Rh 0.0000 0.0000 0.4884
```

DOS(E_F) in states/eV/cell: 8.3
E_tot in eV for the cell shown: -50.2
Total magnetization in Bohr magnetons per cell: 0.0
ΔE_f in eV per atom: -0.064

=====

[4]
Below is a relaxed Na3Tl6Rh crystal, with properties calculated at the PBE level.

```
data_Na3Tl6Rh
_chemical_formula_sum 'Na6 Tl12 Rh2'
_cell_length_a 9.2708
_cell_length_b 11.8531
_cell_length_c 4.9009
_cell_angle_alpha 90.00
_cell_angle_beta 90.00
_cell_angle_gamma 90.00
_space_group_name_H-M_alt 'P n n m'
_space_group_IT_number 58
loop_
_space_group_symop_operation_xyz
'x,y,z'
'-x,-y,-z'
'-x,-y,z'
'x,y,-z'
'x+1/2,-y+1/2,-z+1/2'
'-x+1/2,y+1/2,z+1/2'
'-x+1/2,y+1/2,-z+1/2'
'x+1/2,-y+1/2,z+1/2'
loop_
_atom_site_label
_atom_site_type_symbol
_atom_site_fract_x
_atom_site_fract_y
_atom_site_fract_z
Na1 Na 0.0000 0.0000 0.0000
Na2 Na 0.1433 0.1635 0.5000
Tl1 Tl 0.0383 0.7347 0.0000
Tl2 Tl 0.1560 0.5532 0.5000
Tl3 Tl 0.2222 0.8751 0.5000
Rh1 Rh 0.0000 0.5000 0.0000
```

Energy above the lowest structure with this stoichiometry in eV/atom: 0.0000
DOS(E_F) in states/eV/cell: 9.2
E_tot in eV for the cell shown: -51.6
Total magnetization in Bohr magnetons per cell: 0.0
ΔE_f in eV per atom: -0.028

=====

[5]
Below is a relaxed NaTl3Rh crystal, with properties calculated at the PBE level.

```
data_NaTl3Rh
_chemical_formula_sum 'Na2 Tl6 Rh2'
_cell_length_a 7.3217
_cell_length_b 7.3217
_cell_length_c 5.7811
_cell_angle_alpha 90.00
_cell_angle_beta 90.00
_cell_angle_gamma 120.00
_space_group_name_H-M_alt 'P 63/m m c'
_space_group_IT_number 194
_space_group_name_Hall '-P 6c 2c'
loop_
_atom_site_label
_atom_site_type_symbol
_atom_site_fract_x
_atom_site_fract_y
_atom_site_fract_z
Na1 Na 0.3333 0.6667 0.2500
Tl1 Tl 0.1853 0.3706 0.7500
Rh1 Rh 0.0000 0.0000 0.0000
```

Energy above the lowest structure with this stoichiometry in eV/atom: 0.0272
DOS(E_F) in states/eV/cell: 5.8
E_tot in eV for the cell shown: -31.5
Total magnetization in Bohr magnetons per cell: 0.0
ΔE_f in eV per atom: 0.009

=====

[6]
Below is a relaxed Na2Tl3Rh crystal, with properties calculated at the PBE level.

```
data_Na2Tl3Rh
_chemical_formula_sum 'Na8 Tl12 Rh4'
_cell_length_a 14.7049
_cell_length_b 6.4649
_cell_length_c 6.6717
_cell_angle_alpha 90.00
_cell_angle_beta 103.44
_cell_angle_gamma 90.00
_space_group_name_H-M_alt 'C 1 2/c 1'
_space_group_IT_number 15
loop_
_space_group_symop_operation_xyz
'x,y,z'
'-x,-y,-z'
'-x,y,-z+1/2'
'x,-y,z+1/2'
'x+1/2,y+1/2,z'
'-x+1/2,-y+1/2,-z'
'-x+1/2,y+1/2,-z+1/2'
'x+1/2,-y+1/2,z+1/2'
loop_
_atom_site_label
_atom_site_type_symbol
_atom_site_fract_x
_atom_site_fract_y
_atom_site_fract_z
Na1 Na 0.1799 0.0045 0.0874
Tl1 Tl 0.0000 0.1583 0.2500
Tl2 Tl 0.1220 0.4978 0.5626
Rh1 Rh 0.0000 0.2610 0.7500
```

Energy above the lowest structure with this stoichiometry in eV/atom: 0.0358
DOS(E_F) in states/eV/cell: 11.6
E_tot in eV for the cell shown: -68.1
Total magnetization in Bohr magnetons per cell: 0.0
ΔE_f in eV per atom: 0.011

=====

[7]
Below is a relaxed NaTl3Rh crystal, with properties calculated at the PBE level.

```
data_NaTl3Rh
_chemical_formula_sum 'Na1 Tl3 Rh1'
_cell_length_a 5.3540
_cell_length_b 5.3540
_cell_length_c 5.3540
_cell_angle_alpha 90.00
_cell_angle_beta 90.00
_cell_angle_gamma 90.00
_space_group_name_H-M_alt 'P m -3 m'
_space_group_IT_number 221
_space_group_name_Hall '-P 4 2 3'
loop_
_atom_site_label
_atom_site_type_symbol
_atom_site_fract_x
_atom_site_fract_y
_atom_site_fract_z
Na1 Na 0.0000 0.0000 0.0000
Tl1 Tl 0.0000 0.0000 0.5000
Rh1 Rh 0.5000 0.5000 0.5000
```

Energy above the lowest structure with this stoichiometry in eV/atom: 0.9986
DOS(E_F) in states/eV/cell: 4.2
E_tot in eV for the cell shown: -10.9
Total magnetization in Bohr magnetons per cell: 0.0
ΔE_f in eV per atom: 0.980

=====

[8]
Below is a relaxed Na3Tl6Rh crystal, with properties calculated at the PBE level.

```
data_Na3Tl6Rh
_chemical_formula_sum 'Na6 Tl12 Rh2'
_cell_length_a 12.0377
_cell_length_b 6.5483
_cell_length_c 8.4767
_cell_angle_alpha 90.00
_cell_angle_beta 115.56
_cell_angle_gamma 90.00
_space_group_name_H-M_alt 'C 1 2/m 1'
_space_group_IT_number 12
loop_
_space_group_symop_operation_xyz
'x,y,z'
'-x,-y,-z'
'-x,y,-z'
'x,-y,z'
'x+1/2,y+1/2,z'
'-x+1/2,-y+1/2,-z'
'-x+1/2,y+1/2,-z'
'x+1/2,-y+1/2,z'
loop_
_atom_site_label
_atom_site_type_symbol
_atom_site_fract_x
_atom_site_fract_y
_atom_site_fract_z
Na1 Na 0.0000 0.0000 0.0000
Na2 Na 0.1558 0.0000 0.7242
Tl1 Tl 0.1163 0.2558 0.3512
Tl2 Tl 0.2032 0.5000 0.8197
Rh1 Rh 0.0000 0.5000 0.5000
```

Energy above the lowest structure with this stoichiometry in eV/atom: 0.0220
DOS(E_F) in states/eV/cell: 5.6
E_tot in eV for the cell shown: -51.1
Total magnetization in Bohr magnetons per cell: 0.0
ΔE_f in eV per atom: -0.006

=====

[9]
Below is a relaxed Na5Tl4Rh crystal, with properties calculated at the PBE level.

```
data_Na5Tl4Rh
_chemical_formula_sum 'Na10 Tl8 Rh2'
_cell_length_a 17.5409
_cell_length_b 3.4620
_cell_length_c 9.5833
_cell_angle_alpha 90.00
_cell_angle_beta 106.16
_cell_angle_gamma 90.00
_space_group_name_H-M_alt 'C 1 2/m 1'
_space_group_IT_number 12
loop_
_space_group_symop_operation_xyz
'x,y,z'
'-x,-y,-z'
'-x,y,-z'
'x,-y,z'
'x+1/2,y+1/2,z'
'-x+1/2,-y+1/2,-z'
'-x+1/2,y+1/2,-z'
'x+1/2,-y+1/2,z'
loop_
_atom_site_label
_atom_site_type_symbol
_atom_site_fract_x
_atom_site_fract_y
_atom_site_fract_z
Na1 Na 0.0000 0.0000 0.0000
Na2 Na 0.1841 0.5000 0.5756
Na3 Na 0.1856 0.5000 0.1069
Tl1 Tl 0.0491 0.5000 0.3040
Tl2 Tl 0.1166 0.0000 0.7868
Rh1 Rh 0.0000 0.0000 0.5000
```

Energy above the lowest structure with this stoichiometry in eV/atom: 0.0000
DOS(E_F) in states/eV/cell: 8.5
E_tot in eV for the cell shown: -46.9
Total magnetization in Bohr magnetons per cell: 0.0
ΔE_f in eV per atom: -0.004

=====

[10]
Below is a relaxed Na2Tl2Rh crystal, with properties calculated at the PBE level.

```
data_Na2Tl2Rh
_chemical_formula_sum 'Na8 Tl8 Rh4'
_cell_length_a 3.7047
_cell_length_b 23.2159
_cell_length_c 6.1906
_cell_angle_alpha 90.00
_cell_angle_beta 90.00
_cell_angle_gamma 90.00
_space_group_name_H-M_alt 'C m c m'
_space_group_IT_number 63
_space_group_name_Hall '-C 2c 2'
loop_
_atom_site_label
_atom_site_type_symbol
_atom_site_fract_x
_atom_site_fract_y
_atom_site_fract_z
Na1 Na 0.0000 0.1028 0.2500
Na2 Na 0.0000 0.2623 0.7500
Tl1 Tl 0.0000 0.3516 0.2500
Tl2 Tl 0.0000 0.5000 0.0000
Rh1 Rh 0.0000 0.0568 0.7500
```

Energy above the lowest structure with this stoichiometry in eV/atom: 0.0000
DOS(E_F) in states/eV/cell: 10.4
E_tot in eV for the cell shown: -58.9
Total magnetization in Bohr magnetons per cell: 0.0
ΔE_f in eV per atom: -0.003

=====

[11]
Below is a relaxed Na2TlRh2 crystal, with properties calculated at the PBE level.

```
data_Na2TlRh2
_chemical_formula_sum 'Na4 Tl2 Rh4'
_cell_length_a 3.5132
_cell_length_b 3.5132
_cell_length_c 19.9160
_cell_angle_alpha 90.00
_cell_angle_beta 90.00
_cell_angle_gamma 90.00
_space_group_name_H-M_alt 'I 4/m m m'
_space_group_IT_number 139
_space_group_name_Hall '-I 4 2'
loop_
_atom_site_label
_atom_site_type_symbol
_atom_site_fract_x
_atom_site_fract_y
_atom_site_fract_z
Na1 Na 0.0000 0.0000 0.1241
Tl1 Tl 0.0000 0.0000 0.5000
Rh1 Rh 0.0000 0.5000 0.2500
```

Energy above the lowest structure with this stoichiometry in eV/atom: 0.1290
DOS(E_F) in states/eV/cell: 10.9
E_tot in eV for the cell shown: -36.4
Total magnetization in Bohr magnetons per cell: 0.0
ΔE_f in eV per atom: 0.304

=====

[12]
Below is a relaxed Na2TlRh2 crystal, with properties calculated at the PBE level.

```
data_Na2TlRh2
_chemical_formula_sum 'Na4 Tl2 Rh4'
_cell_length_a 7.5270
_cell_length_b 7.5270
_cell_length_c 3.2347
_cell_angle_alpha 90.00
_cell_angle_beta 90.00
_cell_angle_gamma 90.00
_space_group_name_H-M_alt 'P 4/m b m'
_space_group_IT_number 127
_space_group_name_Hall '-P 4 2ab'
loop_
_atom_site_label
_atom_site_type_symbol
_atom_site_fract_x
_atom_site_fract_y
_atom_site_fract_z
Na1 Na 0.1132 0.3868 0.0000
Tl1 Tl 0.0000 0.0000 0.0000
Rh1 Rh 0.1908 0.6908 0.5000
```

Energy above the lowest structure with this stoichiometry in eV/atom: 0.3572
DOS(E_F) in states/eV/cell: 5.4
E_tot in eV for the cell shown: -34.1
Total magnetization in Bohr magnetons per cell: 0.0
ΔE_f in eV per atom: 0.532